Material: LiNi3Ir
Method: DFT, PBE-GGA
State: relaxed

```
LiNi3Ir
1.0
3.875 0.000 0.000
0.000 3.875 0.000
0.000 0.000 3.875
Ni Li Ir
3 1 1
Cartesian
0.000 0.000 1.937
1.937 0.000 0.000
0.000 1.937 0.000
0.000 0.000 0.000
1.937 1.937 1.937
```

Output
The value obtained for the distance to the lowest polymorph of the same formula is 0.7823 eV/atom. The value obtained for the total magnetic moment is 1.8 μB per formula unit. Its density of states at the Fermi level is 6.32 states/eV per cell. The calculation puts the electronic total energy at -4.875 eV per atom. As for the formation energy: 749 meV per atom.